{
  "formula": "La2PrTl3Se6",
  "functional": "GGA-PBE",
  "state": "relaxed",
  "cell": [[3.814, -6.606, 0.000], [3.814, 6.606, 0.000], [-2.541, 0.000, 7.712]],
  "species": ["La", "La", "Pr", "Tl", "Tl", "Tl", "Se", "Se", "Se", "Se", "Se", "Se"],
  "frac_coords": [[0.167, 0.833, 0.000], [0.833, 0.167, 0.000], [0.500, 0.500, 0.000], [0.000, 0.000, 0.500], [0.333, 0.667, 0.500], [0.667, 0.333, 0.500], [0.098, 0.429, 0.788], [0.239, 0.239, 0.212], [0.429, 0.098, 0.788], [0.571, 0.902, 0.212], [0.761, 0.761, 0.788], [0.902, 0.571, 0.212]],
  "dft_energy_ev_per_cell": -59.82,
  "sg": "C2/m, No. 12",
  "crystal_system": "monoclinic",
  "e_form_raw_mev_per_atom": -1431.4
}